Record 1
# Cs3Ba4C3O9F5 | the Alexandria database | GGA-PBEsol | relaxed
data_Cs3Ba4C3O9F5
_symmetry_space_group_name_H-M 'P 1'
_symmetry_Int_Tables_number 1
_cell_length_a 7.5999
_cell_length_b 11.4463
_cell_length_c 11.4463
_cell_angle_alpha 120.00
_cell_angle_beta 90.00
_cell_angle_gamma 90.00
loop_
_symmetry_equiv_pos_as_xyz
'x,y,z'
loop_
_atom_site_label
_atom_site_type_symbol
_atom_site_fract_x
_atom_site_fract_y
_atom_site_fract_z
O1 O 0.2817 0.1095 0.4156
F1 F 0.9968 0.6667 0.3333
F2 F 0.6906 0.0000 0.0000
O2 O 0.7817 0.4156 0.3061
F3 F 0.9151 0.4279 0.8558
O3 O 0.7817 0.8905 0.3061
O4 O 0.5288 0.1812 0.3624
O5 O 0.5288 0.6376 0.8188
O6 O 0.0288 0.3624 0.1812
C1 C 0.3636 0.6036 0.8018
O7 O 0.7817 0.6939 0.1095
C2 C 0.8636 0.8018 0.6036
C3 C 0.3636 0.1982 0.8018
F4 F 0.4151 0.5721 0.1442
O8 O 0.2817 0.5844 0.8905
F5 F 0.9151 0.4279 0.5721
Ba1 Ba 0.0945 0.9258 0.4629
F6 F 0.4151 0.8558 0.4279
C4 C 0.3636 0.1982 0.3964
F7 F 0.4968 0.3333 0.6667
Ba2 Ba 0.6409 0.6667 0.3333
Cs1 Cs 0.4329 0.2412 0.1206
C5 C 0.8636 0.3964 0.1982
F8 F 0.9151 0.1442 0.5721
O9 O 0.5288 0.1812 0.8188
Ba3 Ba 0.5945 0.4629 0.5371
Cs2 Cs 0.9329 0.1206 0.8794
Ba4 Ba 0.0945 0.5371 0.0742
Cs3 Cs 0.9329 0.1206 0.2412
O10 O 0.2817 0.3061 0.8905
Ba5 Ba 0.5945 0.0742 0.5371
O11 O 0.7817 0.4156 0.1095
O12 O 0.0288 0.8188 0.6376
C6 C 0.8636 0.8018 0.1982
Ba6 Ba 0.1409 0.3333 0.6667
Cs4 Cs 0.4329 0.8794 0.1206
O13 O 0.2817 0.5844 0.6939
O14 O 0.0288 0.8188 0.1812
O15 O 0.2817 0.1095 0.6939
O16 O 0.7817 0.6939 0.5844
F9 F 0.4151 0.5721 0.4279
Ba7 Ba 0.5945 0.4629 0.9258
O17 O 0.7817 0.8905 0.5844
F10 F 0.1906 0.0000 0.0000
Cs5 Cs 0.4329 0.8794 0.7588
Ba8 Ba 0.0945 0.5371 0.4629
O18 O 0.2817 0.3061 0.4156
Cs6 Cs 0.9329 0.7588 0.8794
# crystal system	hexagonal
# E_form (uncorrected)	-5987	kJ/mol of formula units

---

Record 2
# SiTe3 | the Alexandria database | GGA-PBEsol | relaxed
data_SiTe3
_symmetry_space_group_name_H-M 'P 1'
_symmetry_Int_Tables_number 1
_cell_length_a 6.2701
_cell_length_b 6.9952
_cell_length_c 11.0754
_cell_angle_alpha 90.00
_cell_angle_beta 90.00
_cell_angle_gamma 90.00
loop_
_symmetry_equiv_pos_as_xyz
'x,y,z'
loop_
_atom_site_label
_atom_site_type_symbol
_atom_site_fract_x
_atom_site_fract_y
_atom_site_fract_z
Te1 Te 0.3839 0.5744 0.7500
Te2 Te 0.8472 0.3919 0.9357
Si1 Si 0.4758 0.9273 0.7500
Si2 Si 0.5242 0.0727 0.2500
Te3 Te 0.3472 0.1081 0.9357
Te4 Te 0.1528 0.6081 0.0643
Te5 Te 0.8472 0.3919 0.5643
Te6 Te 0.1161 0.0744 0.2500
Te7 Te 0.1528 0.6081 0.4357
Si3 Si 0.0242 0.4273 0.2500
Te8 Te 0.8839 0.9256 0.7500
Si4 Si 0.9758 0.5727 0.7500
Te9 Te 0.6528 0.8919 0.0643
Te10 Te 0.6528 0.8919 0.4357
Te11 Te 0.6161 0.4256 0.2500
Te12 Te 0.3472 0.1081 0.5643
# crystal system	orthorhombic
# E_form (uncorrected)	26	kJ/mol of formula units

---

Record 3
# Cr2TeRu | the Alexandria database | GGA-PBEsol | relaxed
data_Cr2TeRu
_symmetry_space_group_name_H-M 'P 1'
_symmetry_Int_Tables_number 1
_cell_length_a 3.0043
_cell_length_b 4.5048
_cell_length_c 4.5048
_cell_angle_alpha 106.71
_cell_angle_beta 90.00
_cell_angle_gamma 90.00
loop_
_symmetry_equiv_pos_as_xyz
'x,y,z'
loop_
_atom_site_label
_atom_site_type_symbol
_atom_site_fract_x
_atom_site_fract_y
_atom_site_fract_z
Te1 Te 0.5000 0.5000 0.5000
Cr1 Cr 0.0000 0.5000 0.0000
Cr2 Cr 0.0000 0.0000 0.5000
Ru1 Ru 0.5000 0.0000 0.0000
# crystal system	orthorhombic
# E_form (uncorrected)	185	kJ/mol of formula units

---

Record 4
# Co6CuIr | the Alexandria database | GGA-PBEsol | relaxed
data_Co6CuIr
_symmetry_space_group_name_H-M 'P 1'
_symmetry_Int_Tables_number 1
_cell_length_a 6.1098
_cell_length_b 6.1098
_cell_length_c 9.9781
_cell_angle_alpha 90.00
_cell_angle_beta 90.00
_cell_angle_gamma 109.61
loop_
_symmetry_equiv_pos_as_xyz
'x,y,z'
loop_
_atom_site_label
_atom_site_type_symbol
_atom_site_fract_x
_atom_site_fract_y
_atom_site_fract_z
Co1 Co 0.1236 0.3720 0.8735
Co2 Co 0.1204 0.3732 0.3771
Co3 Co 0.8796 0.6268 0.6229
Ir1 Ir 0.2504 0.7496 0.0000
Co4 Co 0.7521 0.2479 0.2527
Co5 Co 0.3720 0.1236 0.1265
Ir2 Ir 0.5000 0.5000 0.2530
Co6 Co 0.3732 0.1204 0.6229
Co7 Co 0.1236 0.3720 0.1265
Cu1 Cu 0.0000 0.0000 0.2526
Co8 Co 0.6280 0.8764 0.1265
Co9 Co 0.3720 0.1236 0.8735
Co10 Co 0.8764 0.6280 0.1265
Co11 Co 0.6268 0.8796 0.3771
Co12 Co 0.8764 0.6280 0.8735
Co13 Co 0.2479 0.7521 0.2527
Co14 Co 0.3732 0.1204 0.3771
Co15 Co 0.2479 0.7521 0.7473
Co16 Co 0.0000 0.0000 0.0000
Ir3 Ir 0.5000 0.5000 0.7470
Cu2 Cu 0.0000 0.0000 0.7474
Co17 Co 0.1204 0.3732 0.6229
Co18 Co 0.6280 0.8764 0.8735
Co19 Co 0.5000 0.5000 0.0000
Co20 Co 0.7521 0.2479 0.7473
Ir4 Ir 0.7496 0.2504 0.0000
Co21 Co 0.5000 0.5000 0.5000
Co22 Co 0.0000 0.0000 0.5000
Co23 Co 0.8796 0.6268 0.3771
Cu3 Cu 0.7483 0.2517 0.5000
Co24 Co 0.6268 0.8796 0.6229
Cu4 Cu 0.2517 0.7483 0.5000
# crystal system	orthorhombic

---

Record 5
# CaLa2P | the Alexandria database | GGA-PBEsol | relaxed
data_CaLa2P
_symmetry_space_group_name_H-M 'P 1'
_symmetry_Int_Tables_number 1
_cell_length_a 3.9111
_cell_length_b 4.2314
_cell_length_c 8.1073
_cell_angle_alpha 105.13
_cell_angle_beta 90.00
_cell_angle_gamma 90.00
loop_
_symmetry_equiv_pos_as_xyz
'x,y,z'
loop_
_atom_site_label
_atom_site_type_symbol
_atom_site_fract_x
_atom_site_fract_y
_atom_site_fract_z
P1 P 0.0000 0.7313 0.4627
La1 La 0.5000 0.2671 0.5343
La2 La 0.0000 0.9160 0.8319
Ca1 Ca 0.5000 0.5851 0.1702
# crystal system	orthorhombic

---

Record 6
# Bi2Se3O10 | the Alexandria database | GGA-PBEsol | relaxed
data_Bi2Se3O10
_symmetry_space_group_name_H-M 'P 1'
_symmetry_Int_Tables_number 1
_cell_length_a 7.4875
_cell_length_b 7.9793
_cell_length_c 8.7633
_cell_angle_alpha 109.99
_cell_angle_beta 115.29
_cell_angle_gamma 90.00
loop_
_symmetry_equiv_pos_as_xyz
'x,y,z'
loop_
_atom_site_label
_atom_site_type_symbol
_atom_site_fract_x
_atom_site_fract_y
_atom_site_fract_z
O1 O 0.2439 0.0635 0.9613
O2 O 0.8904 0.9793 0.5824
O3 O 0.4259 0.1152 0.3825
Se1 Se 0.8015 0.0287 0.7493
Bi1 Bi 0.5350 0.6471 0.3628
O4 O 0.3979 0.6906 0.8108
O5 O 0.3080 0.5207 0.4176
O6 O 0.0434 0.3848 0.6175
O7 O 0.5871 0.8094 0.1892
O8 O 0.6021 0.3094 0.1892
O9 O 0.1096 0.0207 0.4176
Se2 Se 0.3838 0.2500 0.0000
O10 O 0.7473 0.2373 0.7477
Se3 Se 0.0522 0.4713 0.2507
O11 O 0.4129 0.1906 0.8108
O12 O 0.2826 0.4365 0.0387
O13 O 0.6920 0.4793 0.5824
O14 O 0.7561 0.9365 0.0387
O15 O 0.7174 0.5635 0.9613
Se4 Se 0.6162 0.7500 0.0000
Se5 Se 0.1985 0.9713 0.2507
O16 O 0.9996 0.2627 0.2523
O17 O 0.2527 0.7627 0.2523
Bi2 Bi 0.4650 0.3529 0.6372
O18 O 0.9566 0.6152 0.3825
Bi3 Bi 0.1722 0.8529 0.6372
O19 O 0.0004 0.7373 0.7477
Se6 Se 0.9478 0.5287 0.7493
O20 O 0.5741 0.8848 0.6175
Bi4 Bi 0.8278 0.1471 0.3628
# crystal system	monoclinic
# E_form (uncorrected)	-1387	kJ/mol of formula units

---

Record 7
# TlBi2Pb | the Alexandria database | GGA-PBEsol | relaxed
data_TlBi2Pb
_symmetry_space_group_name_H-M 'P 1'
_symmetry_Int_Tables_number 1
_cell_length_a 5.5087
_cell_length_b 5.5087
_cell_length_c 5.5087
_cell_angle_alpha 60.00
_cell_angle_beta 60.00
_cell_angle_gamma 60.00
loop_
_symmetry_equiv_pos_as_xyz
'x,y,z'
loop_
_atom_site_label
_atom_site_type_symbol
_atom_site_fract_x
_atom_site_fract_y
_atom_site_fract_z
Tl1 Tl 0.0000 0.0000 0.0000
Pb1 Pb 0.5000 0.5000 0.5000
Bi1 Bi 0.2500 0.2500 0.2500
Bi2 Bi 0.7500 0.7500 0.7500
# crystal system	cubic

---

Record 8
# NbCrPtBr2 | the Alexandria database | GGA-PBEsol | relaxed
data_NbCrPtBr2
_symmetry_space_group_name_H-M 'P 1'
_symmetry_Int_Tables_number 1
_cell_length_a 4.8495
_cell_length_b 4.8495
_cell_length_c 5.0937
_cell_angle_alpha 90.00
_cell_angle_beta 90.00
_cell_angle_gamma 90.00
loop_
_symmetry_equiv_pos_as_xyz
'x,y,z'
loop_
_atom_site_label
_atom_site_type_symbol
_atom_site_fract_x
_atom_site_fract_y
_atom_site_fract_z
Pt1 Pt 0.5000 0.5000 0.5000
Br1 Br 0.5000 0.0000 0.0000
Nb1 Nb 0.0000 0.0000 0.0000
Br2 Br 0.0000 0.5000 0.0000
Cr1 Cr 0.0000 0.0000 0.5000
# crystal system	tetragonal
# E_form (uncorrected)	559	kJ/mol of formula units

---

E_tot, respectively: -6.6371; -4.0131; -8.0657; -7.4840; -5.2656; -5.7992; -3.7532; -5.1954 eV/atom.
Size of the total moment, respectively: 0.00; 0.00; 4.27; 9.28; 0.00; 0.00; 0.00; 2.75 μB/f.u..